PBE-GGA Er2GeRu, optimized geometry; ΔH_f (0 K) = 59 meV/atom; density of states at the Fermi level = 3.9 states/eV per cell
1.0
3.387 0.000 0.000
1.694 2.934 0.000
1.694 0.978 9.803
Ru Er Ge
1 2 1
direct
0.500 0.500 0.500
0.901 0.901 0.298
0.099 0.099 0.702
0.000 0.000 0.000

PBE-GGA Li14InAg, optimized geometry; ΔH_f (0 K) = -80 meV/atom; density of states at the Fermi level = 6.8 states/eV per cell
1.0
-2.632 3.295 3.984
-0.608 -5.519 1.679
8.016 0.582 4.814
Li In Ag
14 1 1
direct
0.159 0.841 0.000
0.355 0.112 0.739
0.128 0.412 0.500
0.670 0.878 0.000
0.636 0.364 0.000
0.355 0.112 0.261
0.387 0.613 0.753
0.122 0.330 0.000
0.861 0.139 0.727
0.888 0.645 0.739
0.387 0.613 0.247
0.861 0.139 0.273
0.588 0.872 0.500
0.888 0.645 0.261
0.616 0.384 0.500
0.101 0.899 0.500

PBE-GGA SmTh2PaN4, optimized geometry; density of states at the Fermi level = 3.2 states/eV per cell; E_form (uncorrected) = -152.2 kJ per mole of atoms
1.0
-3.505 -0.798 0.134
1.247 -4.869 3.638
-1.012 5.044 3.566
N Sm Th Pa
4 1 2 1
direct
0.000 0.234 0.762
0.500 0.228 0.227
0.000 0.766 0.238
0.500 0.772 0.773
0.500 0.500 0.000
0.500 0.000 0.500
0.000 0.500 0.500
0.000 0.000 0.000

PBE-GGA Pm2RePbO8, optimized geometry; density of states at the Fermi level = 2.7 states/eV per cell; E_form (uncorrected) = -209.2 kJ per mole of atoms
1.0
5.104 -0.083 -0.002
-0.059 5.101 -0.005
0.005 0.009 7.122
O Pb Re Pm
8 1 1 2
direct
0.178 0.820 0.196
0.268 0.267 0.001
0.732 0.733 0.999
0.179 0.821 0.804
0.308 0.307 0.500
0.821 0.179 0.196
0.692 0.693 0.500
0.822 0.180 0.804
0.000 0.000 0.500
0.000 0.000 0.000
0.499 0.499 0.756
0.501 0.501 0.244

PBE-GGA Ho3Mg7Sc, optimized geometry; ΔH_f (0 K) = 93 meV/atom; density of states at the Fermi level = 21.5 states/eV per cell
1.0
-3.115 -0.972 0.016
2.532 -2.808 -10.608
4.569 -14.559 4.944
Mg Ho Sc
14 6 2
direct
0.625 0.251 0.841
0.494 0.988 0.088
0.375 0.749 0.159
0.494 0.988 0.412
0.375 0.749 0.341
0.737 0.474 0.575
0.625 0.251 0.659
0.605 0.209 0.250
0.506 0.012 0.588
0.263 0.526 0.075
0.737 0.474 0.925
0.395 0.791 0.750
0.263 0.526 0.425
0.506 0.012 0.912
0.118 0.237 0.464
0.245 0.491 0.750
0.755 0.509 0.250
0.882 0.763 0.536
0.118 0.237 0.036
0.882 0.763 0.964
0.980 0.960 0.250
0.020 0.040 0.750

PBE-GGA CsSbPt, optimized geometry; density of states at the Fermi level = 2.4 states/eV per cell; E_form (uncorrected) = -36.6 kJ per mole of atoms; E above lowest polymorph = 0.129 eV per atom
1.0
-6.069 -0.106 -0.592
0.023 -4.470 0.568
-0.396 2.723 3.568
Sb Cs Pt
1 1 1
direct
0.167 0.000 0.000
0.667 0.333 0.667
0.167 0.667 0.333

PBE-GGA NaGaSe2, optimized geometry; density of states at the Fermi level = 0.0 states/eV per cell; E_form (uncorrected) = -79.2 kJ per mole of atoms
1.0
-0.239 -9.655 -0.693
2.536 0.948 -2.867
6.373 -5.099 1.240
Na Se Ga
2 4 2
direct
0.697 0.687 0.830
0.378 0.610 0.666
0.958 0.198 0.070
0.969 0.480 0.517
0.447 0.316 0.322
0.411 0.002 0.914
0.305 0.761 0.291
0.054 0.703 0.155

PBE-GGA Pm2HfGe4Rh3, optimized geometry; ΔH_f (0 K) = -808 meV/atom; density of states at the Fermi level = 6.7 states/eV per cell
1.0
4.194 0.000 0.000
0.000 4.194 0.000
0.000 0.000 11.007
Rh Ge Hf Pm
3 4 1 2
direct
0.500 0.000 0.880
0.000 0.500 0.120
0.000 0.000 0.500
0.500 0.500 0.000
0.000 0.500 0.344
0.500 0.000 0.656
0.000 0.000 0.000
0.500 0.500 0.500
0.500 0.000 0.237
0.000 0.500 0.763

PBE-GGA Ti5NbIn2Rh2, optimized geometry; ΔH_f (0 K) = -223 meV/atom; density of states at the Fermi level = 20.2 states/eV per cell
1.0
-0.950 2.880 1.185
-9.708 -3.856 1.590
2.811 -3.071 9.712
Ti Rh Nb In
10 4 2 4
direct
0.500 0.563 0.697
0.500 0.303 0.563
0.500 0.500 0.000
0.500 0.000 0.500
0.500 0.937 0.197
0.500 0.697 0.437
0.500 0.063 0.803
0.500 0.803 0.937
0.500 0.197 0.063
0.500 0.437 0.303
0.000 0.129 0.629
0.000 0.371 0.129
0.000 0.629 0.871
0.000 0.871 0.371
0.000 0.500 0.500
0.000 0.000 0.000
0.000 0.174 0.326
0.000 0.674 0.174
0.000 0.326 0.826
0.000 0.826 0.674

PBE-GGA BeVFeRh, optimized geometry; ΔH_f (0 K) = -383 meV/atom; density of states at the Fermi level = 0.2 states/eV per cell
1.0
4.011 0.000 0.000
2.005 3.474 0.000
2.005 1.158 3.275
Rh Fe V Be
1 1 1 1
direct
0.750 0.750 0.750
0.250 0.250 0.250
0.500 0.500 0.500
0.000 0.000 0.000

PBE-GGA BeCuSe2, optimized geometry; density of states at the Fermi level = 1.7 states/eV per cell; E_form (uncorrected) = -9.7 kJ per mole of atoms
1.0
-0.693 1.686 7.258
2.225 3.291 6.343
-0.831 4.768 5.708
Se Be Cu
2 1 1
direct
0.105 0.105 0.105
0.895 0.895 0.895
0.500 0.500 0.500
0.000 0.000 0.000

PBE-GGA LiZnMoRh, optimized geometry; ΔH_f (0 K) = -125 meV/atom; density of states at the Fermi level = 1.0 states/eV per cell
1.0
-1.073 3.324 -2.464
0.043 -0.393 -4.256
-3.677 -0.054 -2.179
Rh Li Zn Mo
1 1 1 1
direct
0.250 0.250 0.250
0.750 0.750 0.750
0.000 0.000 0.000
0.500 0.500 0.500

PBE-GGA Tb6HoSc12, optimized geometry; ΔH_f (0 K) = 514 meV/atom; density of states at the Fermi level = 28.8 states/eV per cell
1.0
8.320 0.302 0.426
-1.769 8.135 0.426
-1.769 -2.279 7.821
Sc Ho Tb
12 1 6
direct
0.500 0.114 0.886
0.886 0.114 0.500
0.545 0.545 0.835
0.114 0.500 0.886
0.886 0.500 0.114
0.500 0.886 0.114
0.835 0.545 0.545
0.455 0.455 0.165
0.455 0.165 0.455
0.165 0.455 0.455
0.545 0.835 0.545
0.114 0.886 0.500
0.000 0.000 0.000
0.221 0.741 0.221
0.741 0.221 0.221
0.779 0.779 0.259
0.259 0.779 0.779
0.221 0.221 0.741
0.779 0.259 0.779

PBE-GGA LaTb3Co, optimized geometry; ΔH_f (0 K) = -103 meV/atom; density of states at the Fermi level = 10.4 states/eV per cell; E above lowest polymorph = 0.000 eV per atom
1.0
-3.346 6.253 -1.748
3.935 -2.453 -5.643
-4.863 -5.032 1.722
Tb Co La
6 2 2
direct
0.296 0.544 0.841
0.249 0.456 0.296
0.704 0.456 0.159
0.160 0.953 0.704
0.751 0.544 0.704
0.840 0.047 0.296
0.647 0.754 0.400
0.353 0.246 0.600
0.715 0.043 0.758
0.285 0.957 0.242

PBE-GGA Nd3Dy2Ho6Pu, optimized geometry; ΔH_f (0 K) = 43 meV/atom; density of states at the Fermi level = 22.5 states/eV per cell
1.0
6.166 -0.002 -0.013
-3.083 5.340 -0.013
-1.004 -1.739 11.537
Dy Ho Nd Pu
2 6 3 1
direct
0.333 0.667 0.000
0.667 0.333 0.000
0.590 0.919 0.755
0.410 0.081 0.245
0.919 0.590 0.755
0.248 0.248 0.755
0.752 0.752 0.245
0.081 0.410 0.245
0.500 0.500 0.500
0.833 0.167 0.500
0.167 0.833 0.500
0.000 0.000 0.000

PBE-GGA YSnSbO6, optimized geometry; E_form (uncorrected) = -188.7 kJ per mole of atoms
1.0
5.483 0.000 0.000
-2.742 4.749 0.000
0.000 0.000 8.907
Sn O Y Sb
2 12 2 2
direct
0.000 0.000 0.000
0.000 0.000 0.500
0.652 0.687 0.625
0.313 0.348 0.875
0.687 0.034 0.375
0.034 0.348 0.625
0.348 0.034 0.125
0.966 0.313 0.125
0.034 0.687 0.875
0.348 0.313 0.375
0.313 0.966 0.625
0.966 0.652 0.375
0.687 0.652 0.125
0.652 0.966 0.875
0.333 0.667 0.250
0.667 0.333 0.750
0.667 0.333 0.250
0.333 0.667 0.750

PBE-GGA KMnNi, optimized geometry; ΔH_f (0 K) = 723 meV/atom; density of states at the Fermi level = 7.3 states/eV per cell; E above lowest polymorph = 0.361 eV per atom
1.0
-0.932 -2.939 -1.733
3.329 -0.390 -1.129
2.406 -6.214 9.244
Ni K Mn
2 2 2
direct
0.000 0.500 0.633
0.500 0.000 0.367
0.000 0.500 0.187
0.500 0.000 0.813
0.500 0.500 0.500
0.000 0.000 0.500

PBE-GGA Zr2TlOs, optimized geometry; ΔH_f (0 K) = -34 meV/atom; density of states at the Fermi level = 3.8 states/eV per cell; E above lowest polymorph = 0.223 eV per atom
1.0
4.989 -0.004 0.001
-3.895 5.886 -0.010
0.000 1.859 2.722
Zr Os Tl
2 1 1
direct
0.000 0.500 0.500
0.000 0.000 0.000
0.500 0.500 0.000
0.500 0.000 0.500

PBE-GGA Ho3TlHg3, optimized geometry; ΔH_f (0 K) = -314 meV/atom; density of states at the Fermi level = 11.2 states/eV per cell
1.0
-2.984 1.428 -3.787
-7.386 -1.815 5.136
3.772 8.364 0.181
Hg Ho Tl
6 6 2
direct
0.250 0.235 0.036
0.750 0.199 0.235
0.250 0.801 0.765
0.750 0.036 0.801
0.750 0.765 0.964
0.250 0.964 0.199
0.750 0.657 0.554
0.250 0.554 0.897
0.250 0.103 0.657
0.750 0.897 0.343
0.750 0.446 0.103
0.250 0.343 0.446
0.750 0.333 0.667
0.250 0.667 0.333

PBE-GGA PrSm5In5, optimized geometry; ΔH_f (0 K) = -206 meV/atom; density of states at the Fermi level = 11.7 states/eV per cell
1.0
-3.011 4.662 1.994
-5.863 -6.530 -2.304
0.270 -2.514 6.287
Sm Pr In
5 1 5
direct
0.000 0.000 0.500
0.321 0.643 0.996
0.652 0.304 0.504
0.348 0.696 0.496
0.679 0.357 0.004
0.000 0.000 0.000
0.834 0.668 0.268
0.500 0.000 0.000
0.166 0.332 0.269
0.166 0.332 0.732
0.834 0.668 0.731

PBE-GGA Pm3Hg2Rh, optimized geometry; ΔH_f (0 K) = -475 meV/atom; density of states at the Fermi level = 7.6 states/eV per cell; E above lowest polymorph = 0.071 eV per atom
1.0
5.961 0.000 0.000
0.000 7.856 0.004
-2.981 -1.963 7.354
Pm Hg Rh
6 4 2
direct
0.501 0.750 0.000
0.866 0.433 0.732
0.499 0.250 0.000
0.134 0.067 0.268
0.866 0.933 0.732
0.134 0.567 0.268
0.690 0.096 0.380
0.690 0.596 0.380
0.310 0.904 0.620
0.310 0.404 0.620
0.001 0.750 0.000
0.999 0.250 0.000

PBE-GGA MnFeSbI2, optimized geometry; density of states at the Fermi level = 6.6 states/eV per cell; E_form (uncorrected) = 69.1 kJ per mole of atoms; E above lowest polymorph = 0.000 eV per atom
1.0
5.500 0.000 0.000
0.000 5.500 0.000
0.000 0.000 4.923
Mn Sb I Fe
1 1 2 1
direct
0.500 0.500 0.500
0.000 0.000 0.500
0.500 0.000 0.000
0.000 0.500 0.000
0.000 0.000 0.000

Theoretical density values, unit g/cm3, following the record order: 8.66, 1.76, 11.35, 7.27, 4.04, 6.96, 3.73, 9.16, 7.01, 7.96, 5.14, 8.15, 5.01, 7.62, 8.71, 6.09, 3.56, 11.98, 11.78, 7.10, 9.05, 5.42.